1.
Material: CrCuNiIr
Method: DFT, PBE
State: relaxed

## Properties
Formation energy from the elements = 0.06 eV per atom

a b c (Å): 5.8610 5.8610 5.8610
angles (deg): 90.00 90.00 90.00
Closest atoms and distances in Å follow each position.
Space group F-43m (No. 216)
Inequivalent atoms, fractional coordinates:
Cr 0.0000 0.0000 0.0000 (multiplicity 4)  4 Ni 2.54, 4 Ir 2.54
Cu 0.0000 0.0000 0.5000 (multiplicity 4)  4 Ni 2.54, 4 Ir 2.54
Ni 0.2500 0.2500 0.2500 (multiplicity 4)  4 Cu 2.54, 4 Cr 2.54
Ir 0.2500 0.2500 0.7500 (multiplicity 4)  4 Cr 2.54, 4 Cu 2.54

***

2.
Material: La2Pr5Ho
Method: DFT, PBE
State: relaxed

## Properties
Formation energy from the elements = 0.01 eV per atom

a b c (Å): 7.3795 14.8139 5.2339
angles (deg): 90.00 90.00 90.00
Closest atoms and distances in Å follow each position.
Space group Pbam (No. 55)
Inequivalent atoms, fractional coordinates:
La 0.2476 0.1236 0.0000 (multiplicity 4)  10 Pr 3.67-3.74, 2 Ho 3.68
Pr 0.0000 0.5000 0.5000 (multiplicity 2)  6 Pr 3.69-3.73, 2 Ho 3.69, 4 La 3.70
Pr 0.0019 0.7516 0.5000 (multiplicity 4)  1 Ho 3.68, 7 Pr 3.69-3.73, 4 La 3.70-3.72
Pr 0.2499 0.3762 0.0000 (multiplicity 4)  4 La 3.67-3.74, 6 Pr 3.69-3.73, 2 Ho 3.69
Ho 0.0000 0.0000 0.5000 (multiplicity 2)  8 Pr 3.68-3.69, 4 La 3.68

***

3.
Material: InSb3S6
Method: DFT, PBE
State: relaxed

## Properties
E_form (uncorrected) = -243 kJ/mol of formula units
Energy above the lowest structure with this stoichiometry = 17 meV per atom

a b c (Å): 11.3955 14.3632 6.7955
angles (deg): 90.00 90.00 90.00
Closest atoms and distances in Å follow each position.
Space group Cmc2_1 (No. 36)
Inequivalent atoms, fractional coordinates:
In 0.0000 0.2196 0.0000 (multiplicity 4)  4 S 2.45-2.53
Sb 0.0000 0.3850 0.4851 (multiplicity 4)  3 S 2.53-2.54
Sb 0.1845 0.1231 0.3759 (multiplicity 8)  3 S 2.49-2.72
S 0.0000 0.0601 0.1599 (multiplicity 4)  1 In 2.53, 2 Sb 2.72
S 0.0000 0.2249 0.6393 (multiplicity 4)  1 In 2.45, 1 Sb 2.53
S 0.1580 0.4604 0.6945 (multiplicity 8)  2 Sb 2.49-2.54
S 0.1753 0.2749 0.1887 (multiplicity 8)  1 In 2.50, 1 Sb 2.53

***

4.
Material: BaLa2Al2
Method: DFT, PBE
State: relaxed

## Properties
Formation energy from the elements = 0.07 eV per atom
Energy above the lowest structure with this stoichiometry = 244 meV per atom

a b c (Å): 5.4097 5.4097 12.2662
angles (deg): 90.00 90.00 90.00
Closest atoms and distances in Å follow each position.
Space group I4/mmm (No. 139)
Inequivalent atoms, fractional coordinates:
Ba 0.0000 0.0000 0.0000 (multiplicity 2)  8 Al 4.09, 10 La 4.20-4.40
La 0.0000 0.0000 0.3588 (multiplicity 4)  4 Al 3.02
Al 0.0000 0.5000 0.2500 (multiplicity 4)  4 La 3.02

***

5.
Material: ScMoIr2
Method: DFT, PBE
State: relaxed

## Properties
Formation energy from the elements = 0.05 eV per atom
Energy above the lowest structure with this stoichiometry = 566 meV per atom

a b c (Å): 7.2480 7.2480 5.4539
angles (deg): 90.00 90.00 90.00
Closest atoms and distances in Å follow each position.
Space group I-42d (No. 122)
Inequivalent atoms, fractional coordinates:
Sc 0.0000 0.0000 0.0000 (multiplicity 4)  2 Mo 2.73, 4 Ir 2.83
Mo 0.0000 0.0000 0.5000 (multiplicity 4)  4 Ir 2.48, 2 Sc 2.73
Ir 0.2148 0.2500 0.6250 (multiplicity 8)  2 Mo 2.48, 2 Ir 2.77

***

6.
Material: NaCuBi2
Method: DFT, PBE
State: relaxed

## Properties
Formation energy from the elements = 0.02 eV per atom
Energy above the lowest structure with this stoichiometry = 20 meV per atom

a b c (Å): 4.1464 4.1464 22.9240
angles (deg): 90.00 90.00 120.00
Closest atoms and distances in Å follow each position.
Space group R-3m (No. 166, hexagonal axes)
Inequivalent atoms, fractional coordinates:
Na 0.0000 0.0000 0.0000 (multiplicity 3)  6 Bi 3.45
Cu 0.0000 0.0000 0.5000 (multiplicity 3)  6 Bi 2.74
Bi 0.0000 0.0000 0.2248 (multiplicity 6)  3 Cu 2.74

***

7.
Material: Li5Ga6Rh
Method: DFT, PBE
State: relaxed

## Properties
Formation energy from the elements = -0.33 eV per atom

a b c (Å): 3.9339 11.6879 7.8913
angles (deg): 90.00 90.00 90.00
Closest atoms and distances in Å follow each position.
Space group Cmmm (No. 65)
Inequivalent atoms, fractional coordinates:
Li 0.0000 0.0000 0.0000 (multiplicity 2)  4 Li 2.76, 8 Ga 2.81-2.88
Li 0.0000 0.3337 0.0000 (multiplicity 4)  4 Li 2.76-2.78, 8 Ga 2.82-2.86
Li 0.0000 0.3362 0.5000 (multiplicity 4)  8 Ga 2.66-2.76, 2 Rh 2.74, 2 Li 2.82
Ga 0.0000 0.1662 0.2575 (multiplicity 8)  1 Rh 2.73, 7 Li 2.74-2.83, 4 Ga 2.77-2.78
Ga 0.0000 0.5000 0.2667 (multiplicity 4)  6 Li 2.66-2.88, 2 Rh 2.69, 4 Ga 2.77
Rh 0.0000 0.0000 0.5000 (multiplicity 2)  8 Ga 2.69-2.73, 4 Li 2.74

***

8.
Material: SrHgSCl2
Method: DFT, PBE
State: relaxed

## Properties
E_form (uncorrected) = -396 kJ/mol of formula units
Energy above the lowest structure with this stoichiometry = 160 meV per atom

a b c (Å): 5.6165 5.6165 6.1782
angles (deg): 90.00 90.00 90.00
Closest atoms and distances in Å follow each position.
Space group P4/mmm (No. 123)
Inequivalent atoms, fractional coordinates:
Sr 0.0000 0.0000 0.0000 (multiplicity 1)  4 Cl 2.81, 2 S 3.09
Hg 0.5000 0.5000 0.5000 (multiplicity 1)  4 S 3.97, 8 Cl 4.17
S 0.0000 0.0000 0.5000 (multiplicity 1)  2 Sr 3.09
Cl 0.0000 0.5000 0.0000 (multiplicity 2)  2 Sr 2.81

***

What did the fourth record say?
Material: BaLa2Al2
Method: DFT, PBE
State: relaxed

## Properties
Formation energy from the elements = 0.07 eV per atom
Energy above the lowest structure with this stoichiometry = 244 meV per atom

a b c (Å): 5.4097 5.4097 12.2662
angles (deg): 90.00 90.00 90.00
Closest atoms and distances in Å follow each position.
Space group I4/mmm (No. 139)
Inequivalent atoms, fractional coordinates:
Ba 0.0000 0.0000 0.0000 (multiplicity 2)  8 Al 4.09, 10 La 4.20-4.40
La 0.0000 0.0000 0.3588 (multiplicity 4)  4 Al 3.02
Al 0.0000 0.5000 0.2500 (multiplicity 4)  4 La 3.02